Entry 1:
The following is a GGA-PBE calculation of a relaxed CaSbCl5 crystal, from Alexandria via LeMat-Bulk.

Computed properties:
SG: P2_1/c (14)
E_form (uncorrected), eV/f.u.: -10.1

Structure (extended XYZ):
```
28
Lattice="7.242 -0.310 0.000 -3.806 9.465 0.000 0.000 0.000 13.425" Properties=species:S:1:pos:R:3 pbc="T T T"
Cl 6.567 1.085 9.122
Ca 2.510 8.054 10.112
Cl -2.933 7.962 12.096
Cl 3.410 0.842 5.145
Sb 4.694 2.276 6.683
Ca 0.926 1.102 3.312
Cl 2.393 3.182 2.410
Cl 2.591 3.075 8.041
Sb 4.266 1.991 13.396
Cl 1.415 6.814 1.315
Cl 4.440 4.319 5.245
Cl 3.740 6.918 8.028
Cl 6.370 1.193 1.329
Cl -3.131 8.070 4.303
Cl -2.115 5.729 1.568
Cl -1.085 9.207 1.467
Cl -0.304 2.237 5.397
Ca 2.644 5.679 3.400
Cl 2.022 2.341 12.109
Cl 0.845 6.080 5.383
Cl 4.521 -0.052 11.957
Cl 1.043 5.973 11.015
Sb -1.258 6.879 6.742
Cl 0.027 8.313 8.280
Ca 0.792 3.476 10.025
Cl -1.003 4.836 8.180
Cl 5.551 3.426 11.857
Sb -0.830 7.164 0.029
```

---

Entry 2:
The following is a GGA-PBE calculation of a relaxed YBr3F crystal, from Alexandria via LeMat-Bulk.

Computed properties:
SG: Pm-3m (221)
Energy above the most stable polymorph in this dataset, meV per atom: 735
E_form (uncorrected), eV/f.u.: -2.7

Structure (extended XYZ):
```
5
Lattice="4.961 0.000 0.000 0.000 4.961 0.000 0.000 0.000 4.961" Properties=species:S:1:pos:R:3 pbc="T T T"
Br 0.000 0.000 2.480
Br 2.480 0.000 0.000
Br 0.000 2.480 0.000
F 0.000 0.000 0.000
Y 2.480 2.480 2.480
```

---

Entry 3:
The following is a GGA-PBE calculation of a relaxed BaGa2PS6 crystal, from Alexandria via LeMat-Bulk.

Computed properties:
SG: C2/c (15)
E_form (uncorrected), eV/f.u.: -7.4

Structure (extended XYZ):
```
20
Lattice="-5.443 4.304 -0.361 -6.851 -1.423 6.580 1.147 8.503 4.318" Properties=species:S:1:pos:R:3 pbc="T T T"
S -4.540 0.450 4.183
Ga -7.039 6.001 8.165
S -7.829 3.890 7.650
Ga -8.310 9.953 7.574
S -2.402 9.459 5.120
S -0.003 7.246 3.894
S -4.944 6.053 7.078
Ga -2.839 1.431 2.963
S -6.204 5.331 3.459
P -1.946 7.430 4.717
Ba -5.444 3.088 5.707
Ga -4.109 5.383 2.372
S -8.746 1.925 5.417
S -3.319 7.494 2.887
S -3.050 3.715 3.517
Ba -5.704 8.296 4.830
S -6.608 10.934 6.354
S -8.098 7.669 7.020
S -11.146 4.138 6.643
P -9.202 3.954 5.819
```

---

Entry 4:
The following is a GGA-PBE calculation of a relaxed MgIn2HgRh crystal, from Alexandria via LeMat-Bulk.

Computed properties:
DFT formation energy, eV/atom: -0.17
SG: P4/mmm (123)

Structure (extended XYZ):
```
5
Lattice="5.154 0.000 0.000 0.000 5.154 0.000 0.000 0.000 5.055" Properties=species:S:1:pos:R:3 pbc="T T T"
In 0.000 2.577 0.000
In 2.577 0.000 0.000
Mg 0.000 0.000 2.528
Rh 0.000 0.000 0.000
Hg 2.577 2.577 2.528
```

---

Short version: density of states at the Fermi level = 0.0 3.3 2.0 2.8 states/eV per cell, in the order given.
Short version: VASP energy = -101.72 -16.04 -91.11 -15.55 eV per cell, in the order given.